Record 1
DyLuCuPb: optimized geometry, PBE.

extended XYZ file:
```
16
Lattice="7.2836 0.0000 0.0000 0.0000 7.2836 0.0000 0.0000 0.0000 7.2836" Properties=species:S:1:pos:R:3 pbc="T T T"
Dy 0.0000 0.0000 0.0000
Dy 0.0000 3.6418 3.6418
Dy 3.6418 0.0000 3.6418
Dy 3.6418 3.6418 0.0000
Lu 0.0000 0.0000 3.6418
Lu 0.0000 3.6418 0.0000
Lu 3.6418 0.0000 0.0000
Lu 3.6418 3.6418 3.6418
Cu 1.8209 1.8209 5.4627
Cu 1.8209 5.4627 1.8209
Cu 5.4627 1.8209 1.8209
Cu 5.4627 5.4627 5.4627
Pb 1.8209 1.8209 1.8209
Pb 1.8209 5.4627 5.4627
Pb 5.4627 1.8209 5.4627
Pb 5.4627 5.4627 1.8209
```

- V: 386.4 Å³/cell
- DFT formation energy: -268 meV/atom

=====

Record 2
AcInI2: optimized geometry, PBE.

extended XYZ file:
```
12
Lattice="4.1191 0.0000 0.0000 -2.0596 3.5672 0.0000 0.0000 0.0000 35.2180" Properties=species:S:1:pos:R:3 pbc="T T T"
Ac 0.0000 0.0000 0.0000
Ac 0.0000 2.3782 23.4787
Ac 2.0596 1.1891 11.7393
In 0.0000 0.0000 17.6090
In 0.0000 2.3782 5.8697
In 2.0596 1.1891 29.3484
I 0.0000 0.0000 14.1433
I 0.0000 0.0000 21.0748
I 0.0000 2.3782 2.4039
I 0.0000 2.3782 9.3354
I 2.0596 1.1891 25.8826
I 2.0596 1.1891 32.8141
```

- V: 517.5 Å³/cell
- Formation energy without anion corrections: -74.8 kJ/mol of atoms

=====

Record 3
Tm5Rh2Pb: optimized geometry, PBE.

extended XYZ file:
```
16
Lattice="-3.8521 3.8521 6.6830 3.8521 -3.8521 6.6830 3.8521 3.8521 -6.6830" Properties=species:S:1:pos:R:3 pbc="T T T"
Tm 0.0000 0.0000 0.0000
Tm 5.0561 1.2040 -1.7899
Tm 1.2040 2.6481 -1.7899
Tm 5.0561 1.2040 1.7899
Tm 1.2040 2.6481 1.7899
Tm 0.0000 0.0000 6.6830
Tm 2.6481 1.2040 4.8930
Tm -1.2040 2.6481 4.8930
Tm 2.6481 1.2040 8.4729
Tm -1.2040 2.6481 8.4729
Rh 2.7710 1.0811 0.0000
Rh 2.7710 -1.0811 6.6830
Rh 1.0811 4.9331 0.0000
Rh 1.0811 2.7710 6.6830
Pb 0.0000 0.0000 3.3415
Pb 0.0000 0.0000 10.0244
```

- V: 396.7 Å³/cell
- DFT formation energy: -684 meV/atom

=====

Record 4
TmPuPaTl: optimized geometry, PBE.

extended XYZ file:
```
16
Lattice="7.4424 0.0000 0.0000 0.0000 7.4424 0.0000 0.0000 0.0000 7.4424" Properties=species:S:1:pos:R:3 pbc="T T T"
Tm 0.0000 0.0000 0.0000
Tm 0.0000 3.7212 3.7212
Tm 3.7212 0.0000 3.7212
Tm 3.7212 3.7212 0.0000
Pu 0.0000 0.0000 3.7212
Pu 0.0000 3.7212 0.0000
Pu 3.7212 0.0000 0.0000
Pu 3.7212 3.7212 3.7212
Pa 1.8606 1.8606 1.8606
Pa 1.8606 5.5818 5.5818
Pa 5.5818 1.8606 5.5818
Pa 5.5818 5.5818 1.8606
Tl 1.8606 1.8606 5.5818
Tl 1.8606 5.5818 1.8606
Tl 5.5818 1.8606 1.8606
Tl 5.5818 5.5818 5.5818
```

- V: 412.2 Å³/cell
- DFT formation energy: 211 meV/atom